[1]
Crystalline CuTeO2 at its relaxed geometry, computed with GGA-PBE.

Summary:
**ΔE_f (raw)**: -0.200 eV/atom
**Magnetic moment**: 0.00 μB per formula unit
**Crystal system**: trigonal
**Mass density**: 6.322 g/cm³

abc: 6.911 6.911 6.911
angles: 26.67 26.67 26.67
Element x y z (fractional)
O 0.091 0.091 0.091
O 0.909 0.909 0.909
Cu 0.000 0.000 0.000
Te 0.500 0.500 0.500


[2]
Crystalline PuZnHPd2 at its relaxed geometry, computed with GGA-PBE.

Summary:
**Uncorrected energy**: -31.39 eV/f.u.
**Magnetic moment**: 5.75 μB per formula unit
**Crystal system**: orthorhombic
**Mass density**: 11.461 g/cm³

abc: 3.074 6.369 7.982
angles: 90.00 90.00 103.96
Element x y z (fractional)
Pu 0.479 0.959 0.750
Pd 0.150 0.300 0.537
Pd 0.850 0.700 0.463
H 0.000 0.000 0.500
Pu 0.521 0.041 0.250
Pd 0.850 0.700 0.037
Pd 0.150 0.300 0.963
Zn 0.249 0.498 0.250
H 0.000 0.000 0.000
Zn 0.751 0.502 0.750


[3]
Crystalline Co2RuC at its relaxed geometry, computed with GGA-PBE.

Summary:
**Energy of formation from the pure elements**: 0.43 eV per atom
**Magnetic moment**: 0.00 μB per formula unit
**Crystal system**: tetragonal
**Mass density**: 9.100 g/cm³

abc: 6.139 6.139 4.883
angles: 51.05 51.05 90.00
Element x y z (fractional)
C 0.500 0.500 0.000
Co 0.875 0.776 0.750
C 0.250 0.750 0.500
Ru 0.000 0.000 0.000
Co 0.375 0.474 0.750
Ru 0.750 0.250 0.500
Co 0.526 0.125 0.250
Co 0.224 0.625 0.250


[4]
Crystalline Ta2TeSe at its relaxed geometry, computed with GGA-PBE.

Summary:
**ΔE_f (raw)**: 0.085 eV/atom
**Energy relative to the lowest polymorph listed for this composition**: 458.1 meV/atom
**Magnetic moment**: 0.00 μB per formula unit
**Crystal system**: cubic
**Mass density**: 12.763 g/cm³

abc: 4.712 4.712 4.712
angles: 60.00 60.00 60.00
Element x y z (fractional)
Te 0.500 0.500 0.500
Se 0.000 0.000 0.000
Ta 0.250 0.250 0.250
Ta 0.750 0.750 0.750


[5]
Crystalline Tb6Nd3Y2Er at its relaxed geometry, computed with GGA-PBE.

Summary:
**Energy of formation from the pure elements**: 0.02 eV per atom
**Magnetic moment**: 0.00 μB per formula unit
**Crystal system**: monoclinic
**Mass density**: 7.327 g/cm³

abc: 6.220 6.220 11.891
angles: 94.99 94.99 119.99
Element x y z (fractional)
Y 0.333 0.667 0.000
Er 0.000 0.000 0.000
Tb 0.082 0.415 0.247
Tb 0.585 0.918 0.753
Tb 0.750 0.750 0.246
Nd 0.500 0.500 0.500
Tb 0.918 0.585 0.753
Y 0.667 0.333 0.000
Tb 0.415 0.082 0.247
Nd 0.833 0.167 0.500
Tb 0.250 0.250 0.754
Nd 0.167 0.833 0.500


[6]
Crystalline KGePb2Se4 at its relaxed geometry, computed with GGA-PBE.

Summary:
**ΔE_f (raw)**: -0.483 eV/atom
**Magnetic moment**: 0.00 μB per formula unit
**Crystal system**: orthorhombic
**Mass density**: 6.164 g/cm³

abc: 8.627 8.627 8.484
angles: 119.46 119.46 90.01
Element x y z (fractional)
Se 0.276 0.756 0.516
K 0.000 0.500 0.000
Pb 0.500 0.000 0.500
Se 0.744 0.757 0.517
Se 0.743 0.756 0.983
Ge 0.500 0.500 0.500
Pb 0.500 0.500 0.000
Se 0.257 0.244 0.017
K 0.000 0.500 0.500
Pb 0.500 0.000 0.000
Se 0.256 0.243 0.483
Se 0.256 0.775 0.016
Pb 0.000 0.000 0.500
Ge 0.000 0.000 0.000
Se 0.724 0.244 0.484
Se 0.744 0.224 0.984


[7]
Crystalline AlBrCl2 at its relaxed geometry, computed with GGA-PBE.

Summary:
**ΔE_f (raw)**: 0.160 eV/atom
**Energy relative to the lowest polymorph listed for this composition**: 1504.0 meV/atom
**Magnetic moment**: 0.00 μB per formula unit
**Crystal system**: tetragonal
**Mass density**: 3.322 g/cm³

abc: 4.644 4.644 4.122
angles: 90.00 90.00 90.00
Element x y z (fractional)
Br 0.000 0.500 0.500
Cl 0.000 0.000 0.000
Al 0.500 0.000 0.500
Cl 0.500 0.500 0.000


[8]
Crystalline AcPm2Ho at its relaxed geometry, computed with GGA-PBE.

Summary:
**Energy relative to the lowest polymorph listed for this composition**: 127.5 meV/atom
**Energy of formation from the pure elements**: 0.17 eV per atom
**Magnetic moment**: 0.00 μB per formula unit
**Crystal system**: trigonal
**Mass density**: 7.732 g/cm³

abc: 3.626 3.626 13.032
angles: 82.00 82.00 60.00
Element x y z (fractional)
Ho 0.500 0.500 0.500
Pm 0.093 0.093 0.722
Ac 0.000 0.000 0.000
Pm 0.907 0.907 0.278


[9]
Crystalline Pm3ErMg6 at its relaxed geometry, computed with GGA-PBE.

Summary:
**Energy of formation from the pure elements**: -0.07 eV per atom
**Magnetic moment**: 0.00 μB per formula unit
**Crystal system**: monoclinic
**Mass density**: 4.553 g/cm³

abc: 5.309 9.386 11.357
angles: 105.37 90.00 90.00
Element x y z (fractional)
Pm 0.750 0.246 0.995
Mg 0.250 0.237 0.484
Mg 0.250 0.865 0.304
Mg 0.250 0.440 0.097
Mg 0.250 0.045 0.895
Mg 0.750 0.955 0.105
Mg 0.250 0.146 0.191
Mg 0.250 0.669 0.707
Pm 0.750 0.461 0.605
Mg 0.750 0.854 0.809
Mg 0.750 0.331 0.293
Pm 0.250 0.350 0.790
Mg 0.750 0.560 0.903
Mg 0.750 0.135 0.696
Mg 0.750 0.763 0.516
Pm 0.250 0.754 0.005
Pm 0.750 0.650 0.210
Er 0.750 0.048 0.401
Pm 0.250 0.539 0.395
Er 0.250 0.952 0.599


[10]
Crystalline NbVNiW at its relaxed geometry, computed with GGA-PBE.

Summary:
**Energy of formation from the pure elements**: 0.04 eV per atom
**Magnetic moment**: 0.00 μB per formula unit
**Crystal system**: cubic
**Mass density**: 10.788 g/cm³

abc: 4.381 4.381 4.381
angles: 60.00 60.00 60.00
Element x y z (fractional)
V 0.500 0.500 0.500
Nb 0.000 0.000 0.000
Ni 0.250 0.250 0.250
W 0.750 0.750 0.750


[11]
Crystalline Li3PmBi3 at its relaxed geometry, computed with GGA-PBE.

Summary:
**Energy relative to the lowest polymorph listed for this composition**: 0.0 meV/atom
**Energy of formation from the pure elements**: -0.39 eV per atom
**Magnetic moment**: 0.00 μB per formula unit
**Crystal system**: trigonal
**Mass density**: 6.576 g/cm³

abc: 9.171 9.171 7.632
angles: 53.07 53.07 60.00
Element x y z (fractional)
Li 0.829 0.073 0.765
Bi 0.333 0.540 0.252
Li 0.171 0.927 0.235
Bi 0.875 0.333 0.252
Pm 0.706 0.706 0.881
Li 0.927 0.667 0.235
Bi 0.667 0.460 0.748
Bi 0.460 0.125 0.748
Li 0.333 0.829 0.765
Pm 0.294 0.294 0.119
Bi 0.125 0.667 0.748
Li 0.073 0.333 0.765
Bi 0.540 0.875 0.252
Li 0.667 0.171 0.235


[12]
Crystalline Ba8Sb5H at its relaxed geometry, computed with GGA-PBE.

Summary:
**Uncorrected energy**: -52.75 eV/f.u.
**Magnetic moment**: 0.00 μB per formula unit
**Crystal system**: tetragonal
**Mass density**: 4.890 g/cm³

abc: 9.101 9.101 9.101
angles: 109.87 108.67 109.87
Element x y z (fractional)
Sb 0.753 0.624 0.633
Sb 0.009 0.376 0.129
Ba 0.643 0.389 0.884
Sb 0.500 0.000 0.500
Ba 0.746 0.241 0.357
Ba 0.984 0.114 0.733
Ba 0.618 0.886 0.870
Sb 0.367 0.121 0.991
Sb 0.871 0.879 0.247
Ba 0.495 0.611 0.254
Ba 0.130 0.749 0.016
Ba 0.267 0.251 0.382
H 0.250 0.500 0.750
Ba 0.116 0.759 0.505